Computed, not measured: Li3ErPd7 after structural relaxation at the PBE level of DFT.

Output
The calculation puts the final energy at -103.03 eV per cell. The value obtained for the energy of formation from the pure elements is -0.442 eV/atom. The magnetization is 0.000 μB per cell.

a b c (Å): 8.708 8.051 5.174
angles (deg): 90.00 95.52 90.00
Space group C2/m (No. 12)
Inequivalent atoms, fractional coordinates:
Li1 0.000 0.000 0.000 (multiplicity 2)
Li2 0.000 0.187 0.500 (multiplicity 4)
Er1 0.000 0.500 0.000 (multiplicity 2)
Pd1 0.000 0.500 0.500 (multiplicity 2)
Pd2 0.222 0.000 0.713 (multiplicity 4)
Pd3 0.245 0.170 0.236 (multiplicity 8)